(1)
## Tb4Pm3Dy (PBE)

Data for a relaxed Tb4Pm3Dy crystal.

Cell and atoms, written as POSCAR:
```
Tb4Pm3Dy
1.0
3.458 0.000 -0.436
-0.169 6.646 -1.341
-0.259 -1.082 11.867
Pm Tb Dy
3 4 1
Cartesian
-0.085 3.323 -0.670
0.220 5.593 1.744
2.810 -0.028 8.346
0.635 4.449 5.032
2.725 3.402 7.675
0.305 2.162 2.414
2.395 1.115 5.058
1.729 0.000 -0.218
```

Computed properties:
Crystal system = monoclinic
DOS at the Fermi energy = 1.799 states/eV/atom
Calculated formation energy = 0.1595 eV per atom
Offset from the most stable computed form = 3.172 kcal/mol of atoms
Space group = C2/m
Calculated total energy = -4.512 eV per atom
Spin magnetization = 0.000 μB per atom

(2)
## TbPm9Dy2 (PBE)

Data for a relaxed TbPm9Dy2 crystal.

Cell and atoms, written as POSCAR:
```
TbPm9Dy2
1.0
-1.961 2.973 -3.683
-4.339 -2.722 0.112
-5.677 9.486 10.681
Pm Tb Dy
9 1 2
Cartesian
-3.150 0.126 -1.786
-3.117 0.222 1.839
-3.819 6.230 3.499
-5.008 3.382 5.396
-5.044 3.290 1.778
-1.928 3.070 -0.058
-6.899 6.541 8.954
-6.933 6.447 5.332
-5.710 9.389 7.056
0.000 0.000 0.000
-3.784 6.323 7.120
-1.893 3.163 3.561
```

Computed properties:
Crystal system = tetragonal
DOS at the Fermi energy = 1.628 states/eV/atom
Calculated formation energy = 0.0164 eV per atom
Space group = P4/mmm
Calculated total energy = -4.699 eV per atom
Spin magnetization = 0.000 μB per atom

(3)
## Tb5PmDy8 (PBE)

Data for a relaxed Tb5PmDy8 crystal.

Cell and atoms, written as POSCAR:
```
Tb5PmDy8
1.0
8.051 0.000 -2.501
-4.144 6.717 -2.963
0.236 0.000 8.427
Tb Dy Pm
5 8 1
Cartesian
2.107 0.663 7.108
3.916 4.556 1.985
4.144 0.000 2.963
3.264 6.055 -3.267
-0.999 2.162 0.100
-1.705 4.965 -1.942
7.210 0.588 3.002
1.028 6.130 2.889
4.849 1.693 0.211
1.755 1.752 1.977
-2.376 5.024 1.558
3.994 2.649 4.938
1.820 4.068 -0.780
0.118 3.359 4.214
```

Computed properties:
Crystal system = tetragonal
DOS at the Fermi energy = 1.513 states/eV/atom
Calculated formation energy = 0.2460 eV per atom
Space group = I-4
Calculated total energy = -4.377 eV per atom
Spin magnetization = 0.000 μB per atom

(4)
## Tb2Pm3Dy2 (PBE)

Data for a relaxed Tb2Pm3Dy2 crystal.

Cell and atoms, written as POSCAR:
```
Tb2Pm3Dy2
1.0
3.507 -0.549 0.553
-0.283 11.784 1.758
1.102 1.307 5.981
Dy Tb Pm
2 2 3
Cartesian
0.961 8.457 2.254
3.366 4.085 6.038
0.892 10.779 5.000
3.435 1.763 3.292
0.000 0.000 0.000
2.129 7.434 5.509
2.198 5.108 2.783
```

Computed properties:
Crystal system = triclinic
DOS at the Fermi energy = 1.250 states/eV/atom
Calculated formation energy = 0.0151 eV per atom
Offset from the most stable computed form = 0.000 kcal/mol of atoms
Space group = P-1
Calculated total energy = -4.659 eV per atom
Spin magnetization = 0.000 μB per atom

(5)
## Tb4Pm15Dy (PBE)

Data for a relaxed Tb4Pm15Dy crystal.

Cell and atoms, written as POSCAR:
```
Tb4Pm15Dy
1.0
-2.265 -4.309 1.626
2.254 -2.617 -3.796
20.034 -4.795 15.202
Pm Dy Tb
15 1 4
Cartesian
15.150 -4.665 8.743
4.879 -3.593 5.374
3.128 -1.787 -0.380
12.014 -6.340 8.035
7.138 -2.747 2.663
4.001 -4.422 1.955
0.868 -2.633 2.331
8.010 -5.382 4.997
11.144 -3.706 5.703
19.161 -5.625 11.786
16.022 -7.299 11.077
-0.005 -3.463 -1.085
12.890 -5.511 11.454
16.901 -6.471 14.497
8.884 -4.552 8.414
0.000 0.000 0.000
8.015 -1.918 6.082
16.028 -3.836 12.162
12.019 -2.877 9.120
4.007 -0.959 3.040
```

Computed properties:
Crystal system = tetragonal
DOS at the Fermi energy = 1.379 states/eV/atom
Calculated formation energy = 0.0139 eV per atom
Space group = P4/mmm
Calculated total energy = -4.705 eV per atom
Spin magnetization = 0.000 μB per atom

(6)
## Tb5Pm2Dy12 (PBE)

Data for a relaxed Tb5Pm2Dy12 crystal.

Cell and atoms, written as POSCAR:
```
Tb5Pm2Dy12
1.0
5.891 1.282 -1.268
-1.269 8.061 -7.731
-1.478 -2.956 15.153
Dy Tb Pm
12 5 2
Cartesian
3.166 4.742 -2.948
4.151 2.808 4.719
1.440 5.721 0.006
2.425 3.790 7.679
3.156 5.832 3.104
0.718 2.597 -1.524
0.974 -1.359 10.676
1.703 0.665 6.149
-0.023 1.645 9.103
-1.008 3.578 1.436
-0.013 0.554 3.051
2.168 7.746 -4.521
3.419 0.786 9.258
-0.739 -1.478 7.577
2.432 2.711 1.610
0.711 3.676 4.545
-0.276 5.600 -3.103
-1.022 4.665 7.511
4.165 1.722 -1.356
```

Computed properties:
Crystal system = triclinic
DOS at the Fermi energy = 1.385 states/eV/atom
Calculated formation energy = 0.0166 eV per atom
Offset from the most stable computed form = 0.000 kcal/mol of atoms
Space group = P-1
Calculated total energy = -4.609 eV per atom
Spin magnetization = 0.000 μB per atom

(7)
## Tb4PmDy (PBE)

Data for a relaxed Tb4PmDy crystal.

Cell and atoms, written as POSCAR:
```
Tb4PmDy
1.0
5.043 -0.009 0.006
-2.511 5.499 -5.223
-0.007 -3.843 10.627
Tb Pm Dy
4 1 1
Cartesian
0.007 3.657 -3.471
2.519 -2.010 8.881
2.525 1.742 1.832
0.001 -0.095 3.578
0.000 0.000 0.000
0.007 3.573 0.094
```

Computed properties:
Crystal system = triclinic
DOS at the Fermi energy = 1.329 states/eV/atom
Calculated formation energy = 0.0161 eV per atom
Offset from the most stable computed form = 0.000 kcal/mol of atoms
Space group = P-1
Calculated total energy = -4.630 eV per atom
Spin magnetization = 0.000 μB per atom

(8)
## Tb6PmDy5 (PBE)

Data for a relaxed Tb6PmDy5 crystal.

Cell and atoms, written as POSCAR:
```
Tb6PmDy5
1.0
0.418 1.399 -10.061
-7.971 -3.810 5.031
1.207 5.137 2.444
Tb Dy Pm
6 5 1
Cartesian
-6.279 1.101 0.791
-0.067 1.624 -3.378
-5.362 -0.524 -3.161
-3.242 2.987 -4.672
-0.984 3.249 0.574
-3.103 -0.262 2.085
-6.073 -0.438 3.925
-5.064 -2.005 -0.199
-0.272 3.164 -6.511
-3.173 1.363 -1.293
-2.489 -0.406 -4.832
0.000 0.000 0.000
```

Computed properties:
Crystal system = orthorhombic
DOS at the Fermi energy = 1.805 states/eV/atom
Calculated formation energy = 0.1146 eV per atom
Space group = Immm
Calculated total energy = -4.514 eV per atom
Spin magnetization = 0.000 μB per atom

(9)
## TbPm6Dy5 (PBE)

Data for a relaxed TbPm6Dy5 crystal.

Cell and atoms, written as POSCAR:
```
TbPm6Dy5
1.0
-3.224 -2.531 -3.026
6.897 0.094 -7.428
0.986 -5.410 7.764
Tb Pm Dy
1 6 5
Cartesian
0.000 0.000 0.000
2.667 -2.187 -1.012
0.115 -1.242 -3.372
6.113 -2.140 -4.723
1.992 -5.660 -1.678
-1.453 -5.707 2.034
4.544 -6.605 0.682
2.778 -3.429 -4.381
1.881 -4.418 1.691
3.448 0.047 -3.714
-0.671 -3.475 -0.667
5.330 -4.372 -2.023
```

Computed properties:
Crystal system = orthorhombic
DOS at the Fermi energy = 1.300 states/eV/atom
Calculated formation energy = 0.0145 eV per atom
Space group = Immm
Calculated total energy = -4.664 eV per atom
Spin magnetization = 0.000 μB per atom

(10)
## TbPm2Dy4 (PBE)

Data for a relaxed TbPm2Dy4 crystal.

Cell and atoms, written as POSCAR:
```
TbPm2Dy4
1.0
3.521 0.253 -0.324
-0.894 8.059 -3.392
-0.925 -1.108 8.489
Dy Pm Tb
4 2 1
Cartesian
0.455 0.558 5.386
1.840 2.083 2.258
1.246 6.647 -0.612
-0.138 5.122 2.515
-0.270 3.324 -0.297
1.972 3.881 5.071
0.000 0.000 0.000
```

Computed properties:
Crystal system = monoclinic
DOS at the Fermi energy = 1.526 states/eV/atom
Calculated formation energy = 0.0480 eV per atom
Offset from the most stable computed form = 0.000 kcal/mol of atoms
Space group = C2/m
Calculated total energy = -4.601 eV per atom
Spin magnetization = 0.000 μB per atom

(11)
## Tb4Pm7Dy (PBE)

Data for a relaxed Tb4Pm7Dy crystal.

Cell and atoms, written as POSCAR:
```
Tb4Pm7Dy
1.0
6.460 -1.871 2.780
0.722 5.846 2.254
2.806 -2.313 10.973
Pm Tb Dy
7 4 1
Cartesian
5.197 1.525 3.216
4.792 0.136 12.791
5.399 -0.724 6.017
2.606 -0.066 8.171
4.589 2.385 9.991
7.383 1.728 7.836
3.230 -0.936 1.390
7.820 1.454 11.379
4.144 2.672 6.432
2.168 0.208 4.629
5.845 -1.011 9.575
0.000 0.000 0.000
```

Computed properties:
Crystal system = triclinic
DOS at the Fermi energy = 1.257 states/eV/atom
Calculated formation energy = 0.0045 eV per atom
Offset from the most stable computed form = 0.000 kcal/mol of atoms
Space group = P-1
Calculated total energy = -4.694 eV per atom
Spin magnetization = 0.000 μB per atom

(12)
## Tb8Pm3Dy2 (PBE)

Data for a relaxed Tb8Pm3Dy2 crystal.

Cell and atoms, written as POSCAR:
```
Tb8Pm3Dy2
1.0
4.987 0.778 0.332
-1.302 6.318 4.751
-3.258 -0.875 12.453
Tb Pm Dy
8 3 2
Cartesian
1.143 3.399 13.387
-1.573 5.053 11.774
-1.435 5.661 8.288
1.862 0.560 9.248
-0.716 2.822 4.149
2.000 1.168 5.761
-0.993 1.598 11.151
1.419 4.623 6.384
-1.708 4.419 15.299
2.135 1.802 2.237
0.000 0.000 0.000
-0.853 2.203 7.656
1.280 4.018 9.879
```

Computed properties:
Crystal system = monoclinic
DOS at the Fermi energy = 1.380 states/eV/atom
Calculated formation energy = 0.0169 eV per atom
Offset from the most stable computed form = 0.000 kcal/mol of atoms
Space group = C2/m
Calculated total energy = -4.637 eV per atom
Spin magnetization = 0.000 μB per atom

(13)
## Tb4Pm4Dy (PBE)

Data for a relaxed Tb4Pm4Dy crystal.

Cell and atoms, written as POSCAR:
```
Tb4Pm4Dy
1.0
5.085 0.000 0.000
2.543 7.636 0.000
2.543 0.000 7.636
Tb Pm Dy
4 4 1
Cartesian
7.628 5.101 7.635
2.543 2.534 0.000
5.085 7.635 2.534
5.085 0.000 5.101
2.543 2.531 5.104
5.085 5.104 5.104
7.628 5.104 2.532
5.085 2.532 2.531
0.000 0.000 0.000
```

Computed properties:
Crystal system = tetragonal
DOS at the Fermi energy = 1.481 states/eV/atom
Calculated formation energy = 0.0167 eV per atom
Offset from the most stable computed form = 0.000 kcal/mol of atoms
Space group = I4/mmm
Calculated total energy = -4.664 eV per atom
Spin magnetization = 0.000 μB per atom

(14)
## TbPm4Dy6 (PBE)

Data for a relaxed TbPm4Dy6 crystal.

Cell and atoms, written as POSCAR:
```
TbPm4Dy6
1.0
-8.734 -1.254 4.087
7.941 -5.103 -2.336
8.958 2.989 2.319
Tb Dy Pm
1 6 4
Cartesian
0.000 0.000 0.000
10.762 0.118 0.818
0.112 0.868 3.203
10.400 -2.764 -0.840
-0.396 -3.178 0.875
-2.314 -1.221 2.628
6.217 -1.613 1.446
5.169 -3.199 -1.452
5.800 1.828 1.440
2.858 -1.246 1.541
11.238 -2.863 2.522
```

Computed properties:
Crystal system = tetragonal
DOS at the Fermi energy = 1.333 states/eV/atom
Calculated formation energy = 0.3000 eV per atom
Space group = I-42m
Calculated total energy = -4.359 eV per atom
Spin magnetization = 0.000 μB per atom

(15)
## Tb3PmDy3 (PBE)

Data for a relaxed Tb3PmDy3 crystal.

Cell and atoms, written as POSCAR:
```
Tb3PmDy3
1.0
-0.810 2.354 -5.126
-4.597 -7.894 -2.898
-4.888 7.172 4.065
Tb Dy Pm
6 6 2
Cartesian
-6.014 0.631 -3.512
-3.265 -1.308 -4.836
-4.281 1.000 -0.448
-6.624 -2.643 -4.918
-7.029 2.940 0.876
-3.670 4.274 0.958
-1.525 -0.933 -1.771
-8.769 2.564 -2.189
-4.796 7.206 -0.685
-7.666 -0.344 -0.531
-2.629 1.975 -3.429
-5.498 -5.575 -3.275
-5.398 3.915 -2.101
-4.896 -2.284 -1.859
```

Computed properties:
Crystal system = hexagonal
DOS at the Fermi energy = 1.916 states/eV/atom
Calculated formation energy = 0.0134 eV per atom
Offset from the most stable computed form = 0.000 kcal/mol of atoms
Space group = P6_3/m
Calculated total energy = -4.622 eV per atom
Spin magnetization = 0.000 μB per atom

(16)
## Tb4Pm2Dy7 (PBE)

Data for a relaxed Tb4Pm2Dy7 crystal.

Cell and atoms, written as POSCAR:
```
Tb4Pm2Dy7
1.0
-5.024 1.022 -3.264
4.652 -3.045 -2.455
-5.192 -11.475 4.397
Dy Tb Pm
7 4 2
Cartesian
-6.089 -9.936 -1.403
-2.660 -11.377 -1.116
-1.363 -3.789 -2.741
0.000 0.000 0.000
-4.200 -9.709 1.419
0.525 -3.562 0.081
-2.904 -2.121 -0.205
-1.169 -7.427 -0.526
-3.144 -6.950 2.663
-2.419 -6.548 -3.985
-4.394 -6.071 -0.796
1.427 -1.689 -2.725
-1.798 -0.333 -2.994
```

Computed properties:
Crystal system = trigonal
DOS at the Fermi energy = 1.371 states/eV/atom
Calculated formation energy = 0.1729 eV per atom
Space group = P-31m
Calculated total energy = -4.461 eV per atom
Spin magnetization = 0.000 μB per atom

(17)
## Tb5Pm5Dy (PBE)

Data for a relaxed Tb5Pm5Dy crystal.

Cell and atoms, written as POSCAR:
```
Tb5Pm5Dy
1.0
6.537 -1.955 1.205
-1.199 7.167 4.840
-1.052 1.923 9.377
Dy Pm Tb
1 5 5
Cartesian
0.000 0.000 0.000
4.053 3.636 11.508
0.233 3.499 3.915
0.724 1.441 6.766
3.268 -0.977 0.603
3.561 5.694 8.658
-1.126 4.545 7.109
2.605 6.834 11.815
3.430 2.774 5.306
0.856 4.362 10.117
1.681 0.301 3.608
```

Computed properties:
Crystal system = triclinic
DOS at the Fermi energy = 1.434 states/eV/atom
Calculated formation energy = 0.1409 eV per atom
Offset from the most stable computed form = 0.000 kcal/mol of atoms
Space group = P-1
Calculated total energy = -4.541 eV per atom
Spin magnetization = 0.000 μB per atom

(18)
## Tb4Pm19Dy6 (PBE)

Data for a relaxed Tb4Pm19Dy6 crystal.

Cell and atoms, written as POSCAR:
```
Tb4Pm19Dy6
1.0
1.807 5.879 -9.045
-4.236 -9.704 -2.744
-7.012 5.339 6.478
Pm Tb Dy
19 4 6
Cartesian
-4.377 1.946 1.104
-1.800 -2.835 -8.736
-5.070 6.097 2.027
-4.765 0.038 -4.962
-5.013 -3.202 -7.654
-0.629 -0.991 -3.053
0.000 0.000 0.000
-6.648 -0.370 -1.731
-0.143 1.477 -8.049
-5.491 3.041 -2.816
-3.857 8.312 -1.902
-9.598 -0.435 1.285
-5.756 -5.816 -0.148
-1.348 2.905 -0.665
-1.407 2.421 -4.040
-5.071 6.792 -4.703
-2.913 -1.130 0.967
-3.309 -2.910 -2.179
-8.335 -3.235 2.767
-3.412 0.547 -1.919
-2.705 -6.197 -1.752
-4.478 3.409 4.137
1.154 3.754 -5.776
-7.578 2.028 0.904
-3.515 4.173 -5.709
-5.437 -3.551 -4.493
-5.927 -2.659 0.398
-4.005 5.065 -0.818
-1.863 -0.515 -6.214
```

Computed properties:
Crystal system = cubic
DOS at the Fermi energy = 1.390 states/eV/atom
Calculated formation energy = 0.3650 eV per atom
Space group = I23
Calculated total energy = -4.338 eV per atom
Spin magnetization = 0.000 μB per atom

(19)
## TbPm4Dy2 (PBE)

Data for a relaxed TbPm4Dy2 crystal.

Cell and atoms, written as POSCAR:
```
TbPm4Dy2
1.0
5.346 0.000 0.000
0.000 11.372 0.000
0.000 0.000 15.531
Tb Dy Pm
4 8 16
Cartesian
2.673 0.000 0.000
0.000 0.000 7.765
2.673 5.686 7.765
0.000 5.686 0.000
2.671 10.171 10.201
5.344 6.887 5.330
0.002 4.485 10.201
2.671 6.887 2.436
2.675 1.201 5.330
0.002 1.201 2.436
5.344 10.171 13.095
2.675 4.485 13.095
5.346 8.041 8.860
0.002 6.826 12.519
5.344 1.140 10.777
2.671 1.140 12.519
2.673 8.041 14.436
2.673 9.017 6.670
0.002 10.232 4.753
0.000 2.355 14.436
2.675 10.232 3.012
5.346 9.017 1.095
5.344 4.546 3.012
0.000 3.331 6.670
2.673 3.331 1.095
2.671 4.546 4.753
2.675 6.826 10.777
2.673 2.355 8.860
```

Computed properties:
Crystal system = orthorhombic
DOS at the Fermi energy = 1.382 states/eV/atom
Calculated formation energy = 0.1614 eV per atom
Offset from the most stable computed form = 0.841 kcal/mol of atoms
Space group = Cmce
Calculated total energy = -4.530 eV per atom
Spin magnetization = 0.000 μB per atom